## ReRuBr3 (PBE)

Data for crystalline ReRuBr3 at its relaxed geometry.

```
ReRuBr3
1.0
-2.023 4.424 -1.528
1.005 -1.215 -4.849
-4.571 -2.225 -0.390
Re Br Ru
1 3 1
Direct
0.500 0.500 0.500
0.000 0.500 0.000
0.500 0.000 0.000
0.000 0.000 0.500
0.000 0.000 0.000
```

Summary:
Its symmetry is Pm-3m, No. 221. For the energy above the most stable polymorph in this dataset, the calculation gives 0.00 eV/f.u. The density is 6.6 Mg/m³. The magnetization comes out at 4.5 μB/f.u.

---

## AlP2WS (PBE)

Data for crystalline AlP2WS at its relaxed geometry.

```
AlP2WS
1.0
4.524 0.000 0.000
0.000 4.524 0.000
0.000 0.000 4.529
W P Al S
1 2 1 1
Direct
0.500 0.500 0.500
0.500 0.000 0.000
0.000 0.500 0.000
0.000 0.000 0.000
0.000 0.000 0.500
```

Summary:
Its symmetry is P4/mmm, No. 123. For the energy above the most stable polymorph in this dataset, the calculation gives 3.55 eV/f.u. The density is 5.5 Mg/m³. The magnetization comes out at 2.8 μB/f.u.

---

## GaHgO2F (PBE)

Data for crystalline GaHgO2F at its relaxed geometry.

```
GaHgO2F
1.0
4.188 0.000 0.000
0.000 4.188 0.000
0.000 0.000 4.676
O Ga F Hg
2 1 1 1
Direct
0.500 0.000 0.000
0.000 0.500 0.000
0.500 0.500 0.500
0.000 0.000 0.500
0.000 0.000 0.000
```

Summary:
Its symmetry is P4/mmm, No. 123. The density is 6.5 Mg/m³. The magnetization comes out at 0.8 μB/f.u. The value obtained for the final energy is -3.19 eV/atom.

---

## TcMoPt2 (PBE)

Data for crystalline TcMoPt2 at its relaxed geometry.

```
TcMoPt2
1.0
-0.075 1.120 -2.500
-2.721 -0.325 -0.064
-0.962 7.403 3.345
Mo Pt Tc
1 2 1
Direct
0.500 0.500 0.753
0.000 0.000 0.992
0.500 0.500 0.260
0.000 0.000 0.495
```

Summary:
Its symmetry is P4mm, No. 99. The formation energy comes out at -0.1544 eV/atom. For the energy above the most stable polymorph in this dataset, the calculation gives 0.41 eV/f.u. The density is 15.8 Mg/m³. The magnetization comes out at 0.0 μB/f.u.

---

## BiTe6I2 (PBE)

Data for crystalline BiTe6I2 at its relaxed geometry.

```
BiTe6I2
1.0
-2.731 -3.800 0.923
-2.084 1.120 -8.818
8.601 -3.812 0.970
Te I Bi
6 2 1
Direct
0.199 0.325 0.310
0.109 0.796 0.515
0.128 0.464 0.773
0.872 0.536 0.227
0.801 0.675 0.690
0.891 0.204 0.485
0.456 0.162 0.873
0.544 0.838 0.127
0.000 0.000 0.000
```

Summary:
Its symmetry is P-1, No. 2. The density is 5.5 Mg/m³. The magnetization comes out at 0.0 μB/f.u. The value obtained for the final energy is -2.90 eV/atom.

---

## Sr2GeHPd (PBE)

Data for crystalline Sr2GeHPd at its relaxed geometry.

```
Sr2GeHPd
1.0
-1.195 5.441 -2.249
-1.597 0.952 3.150
5.271 2.011 2.064
Ge H Sr Pd
1 1 2 1
Direct
0.000 0.000 0.000
0.000 0.500 0.000
0.500 0.000 0.000
0.000 0.000 0.500
0.500 0.500 0.500
```

Summary:
Its symmetry is P4/mmm, No. 123. For the energy above the most stable polymorph in this dataset, the calculation gives 2.73 eV/f.u. The density is 4.5 Mg/m³. The magnetization comes out at 0.0 μB/f.u.

---

## Y2Ni2Rh (PBE)

Data for crystalline Y2Ni2Rh at its relaxed geometry.

```
Y2Ni2Rh
1.0
6.902 0.000 0.000
0.000 6.902 0.000
0.000 0.000 3.848
Y Ni Rh
4 4 2
Direct
0.315 0.185 0.500
0.815 0.315 0.500
0.185 0.685 0.500
0.685 0.815 0.500
0.119 0.381 0.000
0.381 0.881 0.000
0.881 0.619 0.000
0.619 0.119 0.000
0.000 0.000 0.000
0.500 0.500 0.000
```

Summary:
Its symmetry is P4/mbm, No. 127. The formation energy comes out at -0.4724 eV/atom. For the energy above the most stable polymorph in this dataset, the calculation gives 0.00 eV/f.u. The density is 7.2 Mg/m³. The magnetization comes out at 0.0 μB/f.u.

---

## MoP3 (PBE)

Data for crystalline MoP3 at its relaxed geometry.

```
MoP3
1.0
-2.464 4.044 -4.729
-4.384 1.469 -4.838
-4.880 3.750 -2.629
P Mo
3 1
Direct
0.756 0.756 0.756
0.500 0.500 0.500
0.244 0.244 0.244
0.000 0.000 0.000
```

Summary:
Its symmetry is R-3m, No. 166. The formation energy comes out at 0.0113 eV/atom. For the energy above the most stable polymorph in this dataset, the calculation gives 1.02 eV/f.u. The density is 5.5 Mg/m³. The magnetization comes out at 0.0 μB/f.u.